1.
A relaxed structure of HfTaTi2C4, computed with GGA-PBE.

```
HfTaTi2C4
1.0
-3.009 -0.510 -0.826
1.638 -1.808 -4.852
0.844 -5.394 0.255
Hf Ta Ti C
1 1 2 4
direct
0.500 0.500 0.000 Hf
0.000 0.500 0.500 Ta
0.000 0.000 0.000 Ti
0.500 0.000 0.500 Ti
0.000 0.759 0.742 C
0.000 0.241 0.258 C
0.500 0.756 0.253 C
0.500 0.244 0.747 C
```

Calculated formation energy, eV/atom: -0.808

***

2.
A relaxed structure of KTlCl2, computed with GGA-PBE.

```
KTlCl2
1.0
7.929 -0.013 -0.008
6.633 4.344 -0.008
6.633 1.973 3.870
Tl K Cl
1 1 2
direct
0.750 0.750 0.750 Tl
0.250 0.250 0.250 K
0.997 0.997 0.997 Cl
0.503 0.503 0.503 Cl
```

Formation energy (no corrections), eV per atom: -1.487